(1)
A plane-wave DFT calculation with GGA-PBE was carried out for Y2HgPb after structural relaxation.

The structure in CIF format:
```
data_Y2HgPb
_chemical_formula_sum 'Y4 Hg2 Pb2'
_symmetry_space_group_name_H-M 'I m m 2'
_symmetry_Int_Tables_number 44
_cell_length_a 4.159
_cell_length_b 4.772
_cell_length_c 11.048
_cell_angle_alpha 90.00
_cell_angle_beta 90.00
_cell_angle_gamma 90.00
loop_
_symmetry_equiv_pos_as_xyz
'x,y,z'
'-x,-y,z'
'-x,y,z'
'x,-y,z'
'x+1/2,y+1/2,z+1/2'
'-x+1/2,-y+1/2,z+1/2'
'-x+1/2,y+1/2,z+1/2'
'x+1/2,-y+1/2,z+1/2'
loop_
_atom_site_label
_atom_site_type_symbol
_atom_site_fract_x
_atom_site_fract_y
_atom_site_fract_z
Y1 Y 0.000 0.000 0.000
Y2 Y 0.000 0.500 0.241
Hg1 Hg 0.000 0.500 0.746
Pb1 Pb 0.000 0.000 0.474
```

Results
DOS(E_F) (states/eV/atom): 0.841
DFT formation energy (kJ/mol of atoms): -43
Total magnetization (μB per formula unit): 0.00

***

(2)
A plane-wave DFT calculation with GGA-PBE was carried out for CaEuZnP after structural relaxation.

The structure in CIF format:
```
data_CaEuZnP
_chemical_formula_sum 'Ca4 Eu4 Zn4 P4'
_symmetry_space_group_name_H-M 'F -4 3 m'
_symmetry_Int_Tables_number 216
_symmetry_space_group_name_Hall 'F -4 2 3'
_cell_length_a 7.226
_cell_length_b 7.226
_cell_length_c 7.226
_cell_angle_alpha 90.00
_cell_angle_beta 90.00
_cell_angle_gamma 90.00
loop_
_atom_site_label
_atom_site_type_symbol
_atom_site_fract_x
_atom_site_fract_y
_atom_site_fract_z
Ca1 Ca 0.000 0.000 0.000
Eu1 Eu 0.000 0.000 0.500
Zn1 Zn 0.250 0.250 0.250
P1 P 0.250 0.250 0.750
```

Results
DOS(E_F) (states/eV/atom): 0.777
DFT formation energy (kJ/mol of atoms): -55
Total magnetization (μB per formula unit): 7.16

***

(3)
A plane-wave DFT calculation with GGA-PBE was carried out for Ba2AcTl6 after structural relaxation.

The structure in CIF format:
```
data_Ba2AcTl6
_chemical_formula_sum 'Ba2 Ac1 Tl6'
_symmetry_space_group_name_H-M 'P 6/m m m'
_symmetry_Int_Tables_number 191
_symmetry_space_group_name_Hall '-P 6 2'
_cell_length_a 9.5120
_cell_length_b 9.5120
_cell_length_c 3.9768
_cell_angle_alpha 90.00
_cell_angle_beta 90.00
_cell_angle_gamma 120.00
loop_
_atom_site_label
_atom_site_type_symbol
_atom_site_fract_x
_atom_site_fract_y
_atom_site_fract_z
Ba1 Ba 0.3333 0.6667 0.0000
Ac1 Ac 0.0000 0.0000 0.0000
Tl1 Tl 0.0000 0.3289 0.5000
```

Results
DOS(E_F) (states/eV/atom): 1.014
DFT formation energy (kJ/mol of atoms): -30
Total magnetization (μB per formula unit): 0.00

***

(4)
A plane-wave DFT calculation with GGA-PBE was carried out for Hf6MnBi2 after structural relaxation.

The structure in CIF format:
```
data_Hf6MnBi2
_chemical_formula_sum 'Hf12 Mn2 Bi4'
_symmetry_space_group_name_H-M 'P 1 21/c 1'
_symmetry_Int_Tables_number 14
_cell_length_a 5.749
_cell_length_b 7.245
_cell_length_c 11.218
_cell_angle_alpha 90.00
_cell_angle_beta 120.47
_cell_angle_gamma 90.00
loop_
_symmetry_equiv_pos_as_xyz
'x,y,z'
'-x,-y,-z'
'-x,y+1/2,-z+1/2'
'x,-y+1/2,z+1/2'
loop_
_atom_site_label
_atom_site_type_symbol
_atom_site_fract_x
_atom_site_fract_y
_atom_site_fract_z
Hf1 Hf 0.102 0.207 0.471
Hf2 Hf 0.335 0.671 0.476
Hf3 Hf 0.391 0.034 0.253
Mn1 Mn 0.500 0.000 0.500
Bi1 Bi 0.116 0.097 0.740
```

Results
DOS(E_F) (states/eV/atom): 0.691
DFT formation energy (kJ/mol of atoms): 3
Total magnetization (μB per formula unit): 0.00

***

(5)
A plane-wave DFT calculation with GGA-PBE was carried out for CeDy2Tl3Se6 after structural relaxation.

The structure in CIF format:
```
data_CeDy2Tl3Se6
_chemical_formula_sum 'Ce2 Dy4 Tl6 Se12'
_symmetry_space_group_name_H-M 'C 1 2/m 1'
_symmetry_Int_Tables_number 12
_cell_length_a 7.345
_cell_length_b 12.715
_cell_length_c 8.143
_cell_angle_alpha 90.00
_cell_angle_beta 107.48
_cell_angle_gamma 90.00
loop_
_symmetry_equiv_pos_as_xyz
'x,y,z'
'-x,-y,-z'
'-x,y,-z'
'x,-y,z'
'x+1/2,y+1/2,z'
'-x+1/2,-y+1/2,-z'
'-x+1/2,y+1/2,-z'
'x+1/2,-y+1/2,z'
loop_
_atom_site_label
_atom_site_type_symbol
_atom_site_fract_x
_atom_site_fract_y
_atom_site_fract_z
Ce1 Ce 0.000 0.000 0.000
Dy1 Dy 0.000 0.333 0.000
Tl1 Tl 0.000 0.166 0.500
Tl2 Tl 0.000 0.500 0.500
Se1 Se 0.226 0.500 0.204
Se2 Se 0.240 0.171 0.206
```

Results
DOS(E_F) (states/eV/atom): 0.697
Total magnetization (μB per formula unit): 1.00
Energy relative to the elements, uncorrected (eV per atom): -1.359

***

(6)
A plane-wave DFT calculation with GGA-PBE was carried out for MnCuNi4 after structural relaxation.

The structure in CIF format:
```
data_MnCuNi4
_chemical_formula_sum 'Mn2 Cu2 Ni8'
_symmetry_space_group_name_H-M 'C 1 2/m 1'
_symmetry_Int_Tables_number 12
_cell_length_a 4.004
_cell_length_b 6.983
_cell_length_c 4.974
_cell_angle_alpha 90.00
_cell_angle_beta 91.41
_cell_angle_gamma 90.00
loop_
_symmetry_equiv_pos_as_xyz
'x,y,z'
'-x,-y,-z'
'-x,y,-z'
'x,-y,z'
'x+1/2,y+1/2,z'
'-x+1/2,-y+1/2,-z'
'-x+1/2,y+1/2,-z'
'x+1/2,-y+1/2,z'
loop_
_atom_site_label
_atom_site_type_symbol
_atom_site_fract_x
_atom_site_fract_y
_atom_site_fract_z
Mn1 Mn 0.000 0.000 0.000
Cu1 Cu 0.000 0.000 0.500
Ni1 Ni 0.001 0.334 0.254
```

Results
Offset from the most stable computed form (eV per atom): 0.090
DOS(E_F) (states/eV/atom): 1.190
DFT formation energy (kJ/mol of atoms): 6
Total magnetization (μB per formula unit): 5.89

***

(7)
A plane-wave DFT calculation with GGA-PBE was carried out for NdTmAgPb after structural relaxation.

The structure in CIF format:
```
data_NdTmAgPb
_chemical_formula_sum 'Nd4 Tm4 Ag4 Pb4'
_symmetry_space_group_name_H-M 'F -4 3 m'
_symmetry_Int_Tables_number 216
_symmetry_space_group_name_Hall 'F -4 2 3'
_cell_length_a 7.550
_cell_length_b 7.550
_cell_length_c 7.550
_cell_angle_alpha 90.00
_cell_angle_beta 90.00
_cell_angle_gamma 90.00
loop_
_atom_site_label
_atom_site_type_symbol
_atom_site_fract_x
_atom_site_fract_y
_atom_site_fract_z
Nd1 Nd 0.000 0.000 0.000
Tm1 Tm 0.000 0.000 0.500
Ag1 Ag 0.250 0.250 0.250
Pb1 Pb 0.250 0.250 0.750
```

Results
DOS(E_F) (states/eV/atom): 0.893
DFT formation energy (kJ/mol of atoms): -37
Total magnetization (μB per formula unit): 0.64

***

(8)
A plane-wave DFT calculation with GGA-PBE was carried out for TlCu after structural relaxation.

The structure in CIF format:
```
data_TlCu
_chemical_formula_sum 'Tl6 Cu6'
_symmetry_space_group_name_H-M 'I m m 2'
_symmetry_Int_Tables_number 44
_cell_length_a 3.253
_cell_length_b 11.819
_cell_length_c 6.447
_cell_angle_alpha 90.00
_cell_angle_beta 90.00
_cell_angle_gamma 90.00
loop_
_symmetry_equiv_pos_as_xyz
'x,y,z'
'-x,-y,z'
'-x,y,z'
'x,-y,z'
'x+1/2,y+1/2,z+1/2'
'-x+1/2,-y+1/2,z+1/2'
'-x+1/2,y+1/2,z+1/2'
'x+1/2,-y+1/2,z+1/2'
loop_
_atom_site_label
_atom_site_type_symbol
_atom_site_fract_x
_atom_site_fract_y
_atom_site_fract_z
Tl1 Tl 0.000 0.000 0.000
Tl2 Tl 0.000 0.291 0.797
Cu1 Cu 0.000 0.000 0.440
Cu2 Cu 0.000 0.396 0.178
```

Results
DOS(E_F) (states/eV/atom): 0.331
DFT formation energy (kJ/mol of atoms): 22
Total magnetization (μB per formula unit): 0.00

***

(9)
A plane-wave DFT calculation with GGA-PBE was carried out for CeAl3Fe after structural relaxation.

The structure in CIF format:
```
data_CeAl3Fe
_chemical_formula_sum 'Ce4 Al12 Fe4'
_symmetry_space_group_name_H-M 'P n m a'
_symmetry_Int_Tables_number 62
_cell_length_a 8.076
_cell_length_b 3.993
_cell_length_c 10.974
_cell_angle_alpha 90.00
_cell_angle_beta 90.00
_cell_angle_gamma 90.00
loop_
_symmetry_equiv_pos_as_xyz
'x,y,z'
'-x,-y,-z'
'-x+1/2,-y,z+1/2'
'x+1/2,y,-z+1/2'
'x+1/2,-y+1/2,-z+1/2'
'-x+1/2,y+1/2,z+1/2'
'-x,y+1/2,-z'
'x,-y+1/2,z'
loop_
_atom_site_label
_atom_site_type_symbol
_atom_site_fract_x
_atom_site_fract_y
_atom_site_fract_z
Ce1 Ce 0.182 0.250 0.003
Al1 Al 0.046 0.250 0.582
Al2 Al 0.094 0.750 0.767
Al3 Al 0.160 0.750 0.227
Fe1 Fe 0.142 0.250 0.368
```

Results
Offset from the most stable computed form (eV per atom): 0.000
DOS(E_F) (states/eV/atom): 0.979
DFT formation energy (kJ/mol of atoms): -39
Total magnetization (μB per formula unit): 0.17

***

(10)
A plane-wave DFT calculation with GGA-PBE was carried out for BaSi after structural relaxation.

The structure in CIF format:
```
data_BaSi
_chemical_formula_sum 'Ba4 Si4'
_symmetry_space_group_name_H-M 'F -4 3 m'
_symmetry_Int_Tables_number 216
_symmetry_space_group_name_Hall 'F -4 2 3'
_cell_length_a 7.569
_cell_length_b 7.569
_cell_length_c 7.569
_cell_angle_alpha 90.00
_cell_angle_beta 90.00
_cell_angle_gamma 90.00
loop_
_atom_site_label
_atom_site_type_symbol
_atom_site_fract_x
_atom_site_fract_y
_atom_site_fract_z
Ba1 Ba 0.000 0.000 0.000
Si1 Si 0.250 0.250 0.250
```

Results
DOS(E_F) (states/eV/atom): 0.260
Total magnetization (μB per formula unit): 2.02
Energy relative to the elements, uncorrected (eV per atom): 0.611

***

(11)
A plane-wave DFT calculation with GGA-PBE was carried out for ErSc2Fe after structural relaxation.

The structure in CIF format:
```
data_ErSc2Fe
_chemical_formula_sum 'Er3 Sc6 Fe3'
_symmetry_space_group_name_H-M 'R -3 m'
_symmetry_Int_Tables_number 166
_symmetry_space_group_name_Hall '-R 3 2"'
_cell_length_a 3.3079
_cell_length_b 3.3079
_cell_length_c 28.1797
_cell_angle_alpha 90.00
_cell_angle_beta 90.00
_cell_angle_gamma 120.00
loop_
_atom_site_label
_atom_site_type_symbol
_atom_site_fract_x
_atom_site_fract_y
_atom_site_fract_z
Er1 Er 0.0000 0.0000 0.0000
Sc1 Sc 0.0000 0.0000 0.2292
Fe1 Fe 0.0000 0.0000 0.5000
```

Results
Offset from the most stable computed form (eV per atom): 0.208
DOS(E_F) (states/eV/atom): 1.079
DFT formation energy (kJ/mol of atoms): 14
Total magnetization (μB per formula unit): 0.96

***

(12)
A plane-wave DFT calculation with GGA-PBE was carried out for Ca3MgHPb2 after structural relaxation.

The structure in CIF format:
```
data_Ca3MgHPb2
_chemical_formula_sum 'Ca6 Mg2 H2 Pb4'
_symmetry_space_group_name_H-M 'I m m m'
_symmetry_Int_Tables_number 71
_symmetry_space_group_name_Hall '-I 2 2'
_cell_length_a 4.386
_cell_length_b 4.948
_cell_length_c 16.993
_cell_angle_alpha 90.00
_cell_angle_beta 90.00
_cell_angle_gamma 90.00
loop_
_atom_site_label
_atom_site_type_symbol
_atom_site_fract_x
_atom_site_fract_y
_atom_site_fract_z
Ca1 Ca 0.000 0.000 0.000
Ca2 Ca 0.000 0.500 0.326
Mg1 Mg 0.000 0.000 0.500
H1 H 0.000 0.500 0.500
Pb1 Pb 0.000 0.500 0.131
```

Results
Total energy (eV per cell): -42.93
DOS(E_F) (states/eV/atom): 0.399
Total magnetization (μB per formula unit): 0.00